1.
ScPtW2: relaxed, PBE.

Cell lengths 3.410, 4.603, 8.665 Å; angles 90.00, 90.00, 90.00 degrees
Space group Imm2 (No. 44)
Inequivalent atoms, fractional coordinates:
Sc 0.000 0.000 0.000 x2
Pt 0.000 0.500 0.759 x2
W 0.000 0.000 0.512 x2
W 0.000 0.500 0.235 x2

Results
Crystal system: orthorhombic
Total moment in μB per formula unit: 0.00
Formation enthalpy at 0 K in eV per atom: -0.043

2.
Cs2SrTlBr5: relaxed, PBE.

Cell lengths 5.866, 5.866, 12.510 Å; angles 90.00, 90.00, 90.00 degrees
Space group P4/mmm (No. 123)
Inequivalent atoms, fractional coordinates:
Cs 0.000 0.000 0.218 x2
Sr 0.500 0.500 0.000 x1
Tl 0.500 0.500 0.500 x1
Br 0.000 0.000 0.500 x1
Br 0.000 0.500 0.000 x2
Br 0.500 0.500 0.245 x2

Results
Crystal system: tetragonal
Total moment in μB per formula unit: 0.13
Formation energy from raw total energies in eV/atom: -1.65

3.
Ta3ZnS: relaxed, PBE.

Cell lengths 4.547, 4.547, 4.547 Å; angles 90.00, 90.00, 90.00 degrees
Space group Pm-3m (No. 221)
Inequivalent atoms, fractional coordinates:
Ta 0.000 0.000 0.500 x3
Zn 0.500 0.500 0.500 x1
S 0.000 0.000 0.000 x1

Results
Crystal system: cubic
Total moment in μB per formula unit: 0.00
Energy relative to the lowest polymorph listed for this composition in eV/atom: 0.000
Formation energy from raw total energies in eV/atom: 0.43

4.
Tm2Al2Cd3: relaxed, PBE.

Cell lengths 4.433, 20.930, 3.385 Å; angles 90.00, 90.00, 90.00 degrees
Space group Cmmm (No. 65)
Inequivalent atoms, fractional coordinates:
Tm 0.000 0.159 0.000 x4
Al 0.000 0.283 0.500 x4
Cd 0.000 0.000 0.000 x2
Cd 0.000 0.426 0.500 x4

Results
Crystal system: orthorhombic
Total moment in μB per formula unit: 0.00
Formation enthalpy at 0 K in eV per atom: -0.282

> Among the records above, which one has the highest total moment?

Cs2SrTlBr5

> Number 3 is which compound?

Ta3ZnS